# Sc2InGa

A relaxed Sc2InGa crystal (PBE-GGA, the Alexandria database).

abc: 6.642 6.642 6.642
angles: 55.64 151.56 133.24
Element x y z (fractional)
Sc 0.000 0.239 0.239
Sc 0.000 0.761 0.761
In 0.000 0.500 0.500
Ga 0.000 0.000 0.000

Calculated values
- ΔE to the lowest computed polymorph (meV/atom) = 741
- M_tot (μB/cell) = 0.00
- ΔE_f (eV/atom) = 0.24
- DOS at the Fermi energy (states/eV per cell) = 5.216
- symmetry = No. 71